# B2Os5N2

An optimized crystal structure of B2Os5N2 (PBE, the Open Quantum Materials Database).

Cell lengths 15.8179, 15.8179, 15.8179 Å; angles 10.04, 10.04, 10.04 degrees
Fractional coordinates of all 9 atoms:
B  0.4871  0.4871  0.4871
Os  0.2616  0.2616  0.2616
Os  0.0039  0.0039  0.0039
Os  0.1228  0.1228  0.1228
N  0.0787  0.0787  0.0787
B  0.3046  0.3046  0.3046
N  0.8929  0.8929  0.8929
Os  0.3851  0.3851  0.3851
Os  0.5314  0.5314  0.5314

Space group   R3m
M_tot   0.000 μB/atom
Final energy   -8.96 eV/atom